(1)
DFT (GGA-PBE) results for a relaxed Na2Li2Cd3 crystal.

E = -10.1 eV per cell
Symmetry = C2/m (12)

Lattice parameters (Å, degrees): 5.152 5.152 7.730 84.86 113.08 123.11
Fractional coordinates of all 7 atoms:
Na (0.150, 0.579, 0.729)
Na (0.850, 0.421, 0.271)
Li (0.450, 0.714, 0.164)
Li (0.550, 0.286, 0.836)
Cd (0.000, 0.000, 0.000)
Cd (0.716, 0.857, 0.573)
Cd (0.284, 0.143, 0.427)


(2)
DFT (GGA-PBE) results for a relaxed P2AuS2 crystal.

ΔE to the lowest computed polymorph = 0.013 eV/atom
Energy relative to the elements, uncorrected = 0.0 eV/f.u.
Symmetry = P-1 (2)

Lattice parameters (Å, degrees): 3.932 5.654 6.027 66.40 89.92 76.30
Fractional coordinates of all 5 atoms:
P (0.997, 0.508, 0.248)
P (0.003, 0.492, 0.752)
Au (0.500, 0.500, 0.500)
S (0.894, 0.809, 0.874)
S (0.106, 0.191, 0.126)


(3)
DFT (GGA-PBE) results for a relaxed La12DyIn4O3 crystal.

Energy relative to the elements, uncorrected = -17.4 eV/f.u.
Symmetry = Im-3m (229)

Lattice parameters (Å, degrees): 9.084 9.084 9.084 109.47 109.47 109.47
Fractional coordinates of all 20 atoms:
La (0.250, 0.500, 0.750)
La (0.726, 0.000, 0.726)
La (0.274, 0.000, 0.274)
La (0.750, 0.500, 0.250)
La (0.726, 0.726, 0.000)
La (0.274, 0.274, 0.000)
La (0.750, 0.250, 0.500)
La (0.250, 0.750, 0.500)
La (0.500, 0.250, 0.750)
La (0.000, 0.726, 0.726)
La (0.500, 0.750, 0.250)
La (0.000, 0.274, 0.274)
Dy (0.000, 0.000, 0.000)
In (0.500, 0.500, 0.500)
In (0.000, 0.000, 0.500)
In (0.500, 0.000, 0.000)
In (0.000, 0.500, 0.000)
O (0.500, 0.000, 0.500)
O (0.500, 0.500, 0.000)
O (0.000, 0.500, 0.500)


(4)
DFT (GGA-PBE) results for a relaxed YVSe2Br crystal.

ΔE to the lowest computed polymorph = 0.384 eV/atom
Energy relative to the elements, uncorrected = -1.4 eV/f.u.
Symmetry = P4/mmm (123)

Lattice parameters (Å, degrees): 5.497 5.497 5.376 90.00 90.00 90.00
Each line ends with the local moment (μB).
Fractional coordinates of all 5 atoms:
Y (0.000, 0.000, 0.000)  0.00
Se (0.000, 0.500, 0.000)  -0.17
Se (0.500, 0.000, 0.000)  -0.17
Br (0.000, 0.000, 0.500)  0.01
V (0.500, 0.500, 0.500)  3.09


(5)
DFT (GGA-PBE) results for a relaxed Ho5Tl2Os2 crystal.

E = -105.8 eV per cell
Symmetry = Cmce (64)

Lattice parameters (Å, degrees): 7.472 7.544 9.075 90.00 65.69 90.00
Fractional coordinates of all 18 atoms:
Ho (0.000, 0.000, 0.000)
Ho (0.500, 0.500, 0.000)
Ho (0.437, 0.178, 0.766)
Ho (0.797, 0.822, 0.766)
Ho (0.297, 0.678, 0.766)
Ho (0.937, 0.322, 0.766)
Ho (0.563, 0.822, 0.234)
Ho (0.203, 0.178, 0.234)
Ho (0.703, 0.322, 0.234)
Ho (0.063, 0.678, 0.234)
Tl (0.224, 0.000, 0.552)
Tl (0.724, 0.500, 0.552)
Tl (0.776, 0.000, 0.448)
Tl (0.276, 0.500, 0.448)
Os (0.116, 0.379, 0.000)
Os (0.884, 0.621, 0.000)
Os (0.384, 0.879, 0.000)
Os (0.616, 0.121, 0.000)


(6)
DFT (GGA-PBE) results for a relaxed Nd2Sm2Th crystal.

ΔE to the lowest computed polymorph = 0.000 eV/atom
Symmetry = R-3m (166)

Lattice parameters (Å, degrees): 3.641 3.641 14.978 83.02 83.02 60.00
Fractional coordinates of all 5 atoms:
Nd (0.800, 0.800, 0.600)
Nd (0.200, 0.200, 0.400)
Sm (0.397, 0.397, 0.808)
Sm (0.603, 0.603, 0.192)
Th (0.000, 0.000, 0.000)


(7)
DFT (GGA-PBE) results for a relaxed Ce2Co3B12Os crystal.

E = -124.2 eV per cell
Symmetry = R-3m (166)

Lattice parameters (Å, degrees): 8.184 8.184 8.184 38.99 38.99 38.99
Each line ends with the local moment (μB).
Fractional coordinates of all 18 atoms:
Ce (0.640, 0.640, 0.640)  0.09
Ce (0.360, 0.360, 0.360)  0.09
Co (0.500, 0.000, 0.000)  0.64
Co (0.000, 0.500, 0.000)  0.64
Co (0.000, 0.000, 0.500)  0.64
B (0.341, 0.341, 0.025)  0.00
B (0.947, 0.947, 0.334)  0.00
B (0.334, 0.947, 0.947)  0.00
B (0.025, 0.341, 0.341)  0.00
B (0.947, 0.334, 0.947)  0.00
B (0.341, 0.025, 0.341)  0.00
B (0.659, 0.659, 0.975)  0.00
B (0.053, 0.053, 0.666)  0.00
B (0.666, 0.053, 0.053)  0.00
B (0.975, 0.659, 0.659)  0.00
B (0.053, 0.666, 0.053)  0.00
B (0.659, 0.975, 0.659)  0.00
Os (0.000, 0.000, 0.000)  0.03


(8)
DFT (GGA-PBE) results for a relaxed NaIn3Pb12 crystal.

E = -54.3 eV per cell
Symmetry = P4/mmm (123)

Lattice parameters (Å, degrees): 4.852 4.852 20.619 90.00 90.00 90.00
Fractional coordinates of all 16 atoms:
Na (0.000, 0.000, 0.000)
In (0.000, 0.000, 0.249)
In (0.000, 0.000, 0.500)
In (0.000, 0.000, 0.751)
Pb (0.500, 0.500, 0.000)
Pb (0.500, 0.500, 0.248)
Pb (0.500, 0.500, 0.500)
Pb (0.500, 0.500, 0.752)
Pb (0.500, 0.000, 0.123)
Pb (0.500, 0.000, 0.373)
Pb (0.500, 0.000, 0.627)
Pb (0.500, 0.000, 0.877)
Pb (0.000, 0.500, 0.123)
Pb (0.000, 0.500, 0.373)
Pb (0.000, 0.500, 0.627)
Pb (0.000, 0.500, 0.877)


(9)
DFT (GGA-PBE) results for a relaxed ThGeMo crystal.

E = -23.3 eV per cell
Symmetry = P-6m2 (187)

Lattice parameters (Å, degrees): 3.961 4.430 4.430 120.00 90.00 90.00
Fractional coordinates of all 3 atoms:
Mo (0.167, 0.333, 0.667)
Ge (0.167, 0.000, 0.000)
Th (0.667, 0.667, 0.333)


(10)
DFT (GGA-PBE) results for a relaxed TbErBi crystal.

E = -29.7 eV per cell
Symmetry = C2/m (12)

Lattice parameters (Å, degrees): 4.537 4.537 8.618 90.03 89.97 90.00
Fractional coordinates of all 6 atoms:
Tb (0.750, 0.250, 0.654)
Tb (0.250, 0.750, 0.346)
Er (0.750, 0.750, 0.000)
Er (0.250, 0.250, 0.000)
Bi (0.250, 0.750, 0.718)
Bi (0.750, 0.250, 0.282)


(11)
DFT (GGA-PBE) results for a relaxed Sm4Ga12Ag crystal.

E = -67.1 eV per cell
Symmetry = Im-3m (229)

Lattice parameters (Å, degrees): 7.618 7.618 7.618 109.47 109.47 109.47
Fractional coordinates of all 17 atoms:
Sm (0.000, 0.000, 0.500)
Sm (0.500, 0.000, 0.000)
Sm (0.500, 0.500, 0.500)
Sm (0.000, 0.500, 0.000)
Ga (0.000, 0.305, 0.305)
Ga (0.000, 0.695, 0.695)
Ga (0.695, 0.695, 0.000)
Ga (0.305, 0.305, 0.000)
Ga (0.305, 0.000, 0.305)
Ga (0.695, 0.000, 0.695)
Ga (0.500, 0.250, 0.750)
Ga (0.500, 0.750, 0.250)
Ga (0.750, 0.250, 0.500)
Ga (0.250, 0.750, 0.500)
Ga (0.750, 0.500, 0.250)
Ga (0.250, 0.500, 0.750)
Ag (0.000, 0.000, 0.000)


(12)
DFT (GGA-PBE) results for a relaxed BeCo3Ge crystal.

ΔE to the lowest computed polymorph = 0.000 eV/atom
Symmetry = P6_3/mmc (194)

Lattice parameters (Å, degrees): 4.075 5.618 5.618 120.00 90.00 90.00
Each line ends with the local moment (μB).
Fractional coordinates of all 10 atoms:
Be (0.000, 0.000, 0.000)  -0.04
Be (0.500, 0.000, 0.000)  -0.04
Co (0.250, 0.812, 0.188)  0.98
Co (0.750, 0.188, 0.812)  0.98
Co (0.250, 0.812, 0.624)  0.98
Co (0.750, 0.188, 0.376)  0.98
Co (0.250, 0.376, 0.188)  0.98
Co (0.750, 0.624, 0.812)  0.98
Ge (0.250, 0.334, 0.666)  -0.03
Ge (0.750, 0.666, 0.334)  -0.03


(13)
DFT (GGA-PBE) results for a relaxed RbAlNF2 crystal.

ΔE to the lowest computed polymorph = 0.000 eV/atom
Energy relative to the elements, uncorrected = -8.7 eV/f.u.
Symmetry = P4/mmm (123)

Lattice parameters (Å, degrees): 4.186 4.186 3.775 90.00 90.00 90.00
Each line ends with the local moment (μB).
Fractional coordinates of all 5 atoms:
N (0.000, 0.000, 0.500)  0.60
Al (0.000, 0.000, 0.000)  -0.01
Rb (0.500, 0.500, 0.500)  0.02
F (0.000, 0.500, 0.000)  0.03
F (0.500, 0.000, 0.000)  0.03


(14)
DFT (GGA-PBE) results for a relaxed KTcOs2 crystal.

ΔE to the lowest computed polymorph = 0.884 eV/atom
Symmetry = I-42d (122)

Lattice parameters (Å, degrees): 7.461 7.461 6.008 51.62 51.62 90.00
Fractional coordinates of all 8 atoms:
K (0.500, 0.500, 0.000)
K (0.250, 0.750, 0.500)
Os (0.688, 0.125, 0.250)
Os (0.062, 0.625, 0.250)
Os (0.375, 0.312, 0.750)
Os (0.875, 0.938, 0.750)
Tc (0.000, 0.000, 0.000)
Tc (0.750, 0.250, 0.500)


(15)
DFT (GGA-PBE) results for a relaxed CrAgSb2 crystal.

ΔE to the lowest computed polymorph = 0.210 eV/atom
Energy relative to the elements, uncorrected = 1.7 eV/f.u.
Symmetry = R3m (160)

Lattice parameters (Å, degrees): 9.903 9.903 9.903 19.05 19.05 19.05
Each line ends with the local moment (μB).
Fractional coordinates of all 4 atoms:
Ag (0.492, 0.492, 0.492)  0.04
Cr (0.753, 0.753, 0.753)  3.50
Sb (0.014, 0.014, 0.014)  -0.06
Sb (0.241, 0.241, 0.241)  0.04


(16)
DFT (GGA-PBE) results for a relaxed K2RbCa2 crystal.

ΔE to the lowest computed polymorph = 0.000 eV/atom
Symmetry = P4/mbm (127)

Lattice parameters (Å, degrees): 12.163 12.163 4.243 90.00 90.00 90.00
Fractional coordinates of all 10 atoms:
Ca (0.389, 0.889, 0.000)
Ca (0.889, 0.611, 0.000)
Ca (0.611, 0.111, 0.000)
Ca (0.111, 0.389, 0.000)
K (0.180, 0.680, 0.500)
K (0.680, 0.820, 0.500)
K (0.820, 0.320, 0.500)
K (0.320, 0.180, 0.500)
Rb (0.000, 0.000, 0.000)
Rb (0.500, 0.500, 0.000)


(17)
DFT (GGA-PBE) results for a relaxed YCuBr4 crystal.

Energy relative to the elements, uncorrected = 1.7 eV/f.u.
Symmetry = F-43m (216)

Lattice parameters (Å, degrees): 6.148 6.148 6.148 60.00 60.00 60.00
Each line ends with the local moment (μB).
Fractional coordinates of all 6 atoms:
Y (0.000, 0.000, 0.000)  0.01
Cu (0.750, 0.750, 0.750)  0.01
Br (0.874, 0.375, 0.375)  0.13
Br (0.375, 0.375, 0.874)  0.13
Br (0.375, 0.874, 0.375)  0.13
Br (0.375, 0.375, 0.375)  0.13


(18)
DFT (GGA-PBE) results for a relaxed ZrVFeMo crystal.

E = -37.0 eV per cell
Symmetry = F-43m (216)

Lattice parameters (Å, degrees): 4.418 4.418 4.418 60.00 60.00 60.00
Each line ends with the local moment (μB).
Fractional coordinates of all 4 atoms:
Mo (0.000, 0.000, 0.000)  0.19
Fe (0.500, 0.500, 0.500)  0.88
Zr (0.250, 0.250, 0.250)  -0.11
V (0.750, 0.750, 0.750)  -0.45


(19)
DFT (GGA-PBE) results for a relaxed LiCdPb2 crystal.

E = -10.6 eV per cell
Symmetry = Pmm2 (25)

Lattice parameters (Å, degrees): 3.430 4.486 6.859 90.00 90.00 90.00
Fractional coordinates of all 4 atoms:
Pb (0.000, 0.000, 0.981)
Pb (0.500, 0.500, 0.261)
Li (0.500, 0.500, 0.735)
Cd (0.000, 0.000, 0.523)


(20)
DFT (GGA-PBE) results for a relaxed LaCoH crystal.

ΔE to the lowest computed polymorph = 0.052 eV/atom
Symmetry = Cmc2_1 (36)

Lattice parameters (Å, degrees): 4.800 9.012 4.428 90.00 90.00 90.00
Fractional coordinates of all 12 atoms:
La (0.000, 0.348, 0.080)
La (0.000, 0.652, 0.580)
La (0.500, 0.848, 0.080)
La (0.500, 0.152, 0.580)
Co (0.000, 0.047, 0.155)
Co (0.000, 0.953, 0.655)
Co (0.500, 0.547, 0.155)
Co (0.500, 0.453, 0.655)
H (0.000, 0.867, 0.975)
H (0.000, 0.133, 0.475)
H (0.500, 0.367, 0.975)
H (0.500, 0.633, 0.475)